The following is a PBE calculation of a geometry-optimized KLi2Rh structure, from the Alexandria database.

As for the formation energy: 0.40 eV/atom. As for the magnetic moment: 0.0 Bohr magnetons per cell. The calculated volume comes out at 80.1 Å³/cell. Its raw total energy is -0.098 Ha/atom. As for the space-group type: I-4m2 (119).

Cell lengths 5.3892, 5.3892, 5.3892 Å; angles 133.81, 133.81, 67.38 degrees
Positions (direct):
Rh (0.5000, 0.5000, 0.0000)
K (0.7500, 0.2500, 0.5000)
Li (0.2500, 0.7500, 0.5000)
Li (0.0000, 0.0000, 0.0000)